Ca2CuSb4Pd3 | PBE | optimized geometry

The density of states at the Fermi level comes out at 4.6 states/eV/f.u. The value obtained for the raw total energy is -4.643 eV per atom.

It has space group P-4m2 (No. 115), with a = 4.5122 Å, b = 4.5122 Å, c = 11.2500 Å, α = 90.00°, β = 90.00° and γ = 90.00°. The inequivalent atoms are Ca at (0.0000, 0.5000, 0.2316), Cu at (0.5000, 0.5000, 0.0000), Sb at (0.0000, 0.0000, 0.5000), Sb at (0.0000, 0.5000, 0.8702), Sb at (0.5000, 0.5000, 0.5000), Pd at (0.0000, 0.0000, 0.0000) and Pd at (0.0000, 0.5000, 0.6370).


LiMg2Hg | PBE | optimized geometry

The value obtained for the formation energy is -0.0602 eV per atom. The density of states at the Fermi level comes out at 1.4 states/eV/f.u.

It has space group R-3m (No. 166, hexagonal axes), with a = 3.3998 Å, b = 3.3998 Å, c = 27.4867 Å, α = 90.00°, β = 90.00° and γ = 120.00°. The inequivalent atoms are Li at (0.0000, 0.0000, 0.0000), Mg at (0.0000, 0.0000, 0.2461) and Hg at (0.0000, 0.0000, 0.5000).


MgCoBr | PBE | optimized geometry

The density of states at the Fermi level comes out at 1.8 states/eV/f.u. The value obtained for the offset from the most stable computed form is 0.333 eV per atom.

It has space group Pm (No. 6), with a = 3.8160 Å, b = 3.7879 Å, c = 9.5033 Å, α = 90.00°, β = 90.04° and γ = 90.00°. The inequivalent atoms are Mg at (0.0000, 0.0000, 0.0000), Mg at (0.4992, 0.5000, 0.7963), Co at (0.9990, 0.0000, 0.7328), Co at (0.9989, 0.5000, 0.6121), Br at (0.4984, 0.5000, 0.1218) and Br at (0.9984, 0.0000, 0.4522).


HfPbO3 | PBE | optimized geometry

The density of states at the Fermi level comes out at 0.0 states/eV/f.u. The value obtained for the raw total energy is -7.919 eV per atom.

It has space group Cmcm (No. 63), with a = 5.9345 Å, b = 14.3925 Å, c = 5.8029 Å, α = 90.00°, β = 90.00° and γ = 90.00°. The inequivalent atoms are Hf at (0.0000, 0.0894, 0.2500), Pb at (0.0000, 0.3044, 0.2500), O at (0.0000, 0.0000, 0.0000) and O at (0.2406, 0.1828, 0.2500).